8
Lattice="2.7879 0.0000 0.0000 0.0000 4.5418 0.0000 0.0000 0.0000 10.1118" Properties=species:S:1:pos:R:3 comment="CaTaCo2, optimized geometry, DFT PBE" n_ef_per_ev_fu=3.56 e_form_mev_per_atom=348.7 final_energy_ev_per_atom=-6.6678 relative_energy_ev_per_atom=0.3607 spacegroup="No. 44" pbc="T T T"
Ca 0.0000 0.0000 0.0000
Ca 1.3940 2.2709 5.0559
Ta 0.0000 2.2709 8.0104
Ta 1.3940 0.0000 2.9545
Co 0.0000 0.0000 5.3484
Co 0.0000 2.2709 2.2589
Co 1.3940 0.0000 7.3148
Co 1.3940 2.2709 0.2925


5
Lattice="4.1309 0.0000 0.0000 0.0000 4.1309 0.0000 0.0000 0.0000 3.2536" Properties=species:S:1:pos:R:3 comment="HWIN2, optimized geometry, DFT PBE" n_ef_per_ev_fu=3.56 final_energy_ev_per_atom=-4.5821 relative_energy_ev_per_atom=1.5354 spacegroup="No. 123" pbc="T T T"
H 0.0000 0.0000 0.0000
W 2.0655 2.0655 1.6268
I 0.0000 0.0000 1.6268
N 0.0000 2.0655 0.0000
N 2.0655 0.0000 0.0000


6
Lattice="0.0000 3.6921 3.6921 3.6921 0.0000 3.6921 3.6921 3.6921 0.0000" Properties=species:S:1:pos:R:3 comment="InPOs4, optimized geometry, DFT PBE" n_ef_per_ev_fu=8.98 e_form_mev_per_atom=962.8 final_energy_ev_per_atom=-7.8818 spacegroup="No. 216" pbc="T T T"
In 0.0000 0.0000 0.0000
P 1.8461 1.8461 1.8461
Os 4.6114 2.7729 2.7729
Os 2.7729 4.6114 2.7729
Os 2.7729 2.7729 4.6114
Os 4.6114 4.6114 4.6114


44
Lattice="14.5884 0.0000 0.0000 0.0000 5.9970 0.0000 0.0000 0.0000 8.7669" Properties=species:S:1:pos:R:3 comment="Ag4Bi2O5, optimized geometry, DFT PBE" n_ef_per_ev_fu=0.00 final_energy_ev_per_atom=-4.5804 e_form_raw_kj_per_mol_fu=-620.1 spacegroup="No. 52" pbc="T T T"
Ag 1.1868 0.0682 1.2379
Ag 1.1868 2.9303 3.1456
Ag 3.6114 4.4978 2.1917
Ag 3.6471 0.0000 8.1906
Ag 3.6471 2.9985 4.9598
Ag 3.6828 1.4993 2.1917
Ag 6.1074 3.0667 3.1456
Ag 6.1074 5.9288 1.2379
Ag 8.4810 0.0682 7.5290
Ag 8.4810 2.9303 5.6213
Ag 10.9056 4.4978 6.5752
Ag 10.9413 0.0000 0.5763
Ag 10.9413 2.9985 3.8071
Ag 10.9770 1.4993 6.5752
Ag 13.4016 3.0667 5.6213
Ag 13.4016 5.9288 7.5290
Bi 1.6247 0.0587 5.1191
Bi 1.6247 2.9398 8.0313
Bi 5.6694 3.0572 8.0313
Bi 5.6694 5.9383 5.1191
Bi 8.9189 0.0587 3.6478
Bi 8.9189 2.9398 0.7356
Bi 12.9636 3.0572 0.7356
Bi 12.9636 5.9383 3.6478
O 0.6272 3.2945 1.1338
O 0.6272 5.7010 3.2496
O 1.6913 0.7913 8.0216
O 1.6913 2.2072 5.1288
O 3.6471 0.0000 3.8336
O 3.6471 2.9985 0.5499
O 5.6029 3.7898 5.1288
O 5.6029 5.2057 8.0216
O 6.6669 0.2960 3.2496
O 6.6669 2.7025 1.1338
O 7.9214 3.2945 7.6331
O 7.9214 5.7010 5.5173
O 8.9855 0.7913 0.7454
O 8.9855 2.2072 3.6381
O 10.9413 0.0000 4.9333
O 10.9413 2.9985 8.2170
O 12.8970 3.7898 3.6381
O 12.8970 5.2057 0.7454
O 13.9611 0.2960 5.5173
O 13.9611 2.7025 7.6331


5
Lattice="4.6439 0.0000 0.0000 0.0000 4.6439 0.0000 0.0000 0.0000 4.6439" Properties=species:S:1:pos:R:3 comment="LaNiB3, optimized geometry, DFT PBE" n_ef_per_ev_fu=6.03 e_form_mev_per_atom=2723.7 final_energy_ev_per_atom=-3.4245 relative_energy_ev_per_atom=2.2780 spacegroup="No. 221" pbc="T T T"
La 0.0000 0.0000 0.0000
Ni 2.3219 2.3219 2.3219
B 0.0000 0.0000 2.3219
B 0.0000 2.3219 0.0000
B 2.3219 0.0000 0.0000


8
Lattice="2.7310 0.0000 0.0000 0.0000 2.7132 0.0000 0.0000 0.0000 9.6273" Properties=species:S:1:pos:R:3 comment="SiBC2, optimized geometry, DFT PBE" n_ef_per_ev_fu=0.95 final_energy_ev_per_atom=-7.1456 e_form_raw_kj_per_mol_fu=189.7 relative_energy_ev_per_atom=0.2487 spacegroup="No. 38" pbc="T T T"
Si 0.0000 0.0000 0.0000
Si 0.0000 1.3566 4.8137
B 1.3655 0.0000 7.0133
B 1.3655 1.3566 2.1996
C 0.0000 0.0000 7.7650
C 0.0000 1.3566 2.9513
C 1.3655 0.0000 5.4231
C 1.3655 1.3566 0.6094


20
Lattice="10.8749 0.0000 0.0000 0.0000 10.8749 0.0000 0.0000 0.0000 2.8115" Properties=species:S:1:pos:R:3 comment="FePd5Pt2Au2, optimized geometry, DFT PBE" n_ef_per_ev_fu=9.86 e_form_mev_per_atom=93.7 final_energy_ev_per_atom=-5.2126 spacegroup="No. 127" pbc="T T T"
Fe 0.0000 0.0000 0.0000
Fe 5.4374 5.4374 0.0000
Pd 0.0000 5.4374 1.4058
Pd 0.0609 2.0938 1.4058
Pd 2.0938 10.8140 1.4058
Pd 3.3436 5.3766 1.4058
Pd 5.3766 7.5313 1.4058
Pd 5.4374 0.0000 1.4058
Pd 5.4983 3.3436 1.4058
Pd 7.5313 5.4983 1.4058
Pd 8.7810 0.0609 1.4058
Pd 10.8140 8.7810 1.4058
Pt 1.6711 3.7664 0.0000
Pt 3.7664 9.2038 0.0000
Pt 7.1085 1.6711 0.0000
Pt 9.2038 7.1085 0.0000
Au 1.8196 7.2570 0.0000
Au 3.6178 1.8196 0.0000
Au 7.2570 9.0552 0.0000
Au 9.0552 3.6178 0.0000


8
Lattice="3.6396 0.0000 0.0000 0.0000 3.6396 0.0000 0.0000 0.0000 14.6319" Properties=species:S:1:pos:R:3 comment="Sm3TmAl4, optimized geometry, DFT PBE" n_ef_per_ev_fu=2.82 e_form_mev_per_atom=-378.9 final_energy_ev_per_atom=-4.5788 spacegroup="No. 123" pbc="T T T"
Sm 0.0000 0.0000 0.0000
Sm 0.0000 0.0000 3.7387
Sm 0.0000 0.0000 10.8932
Tm 0.0000 0.0000 7.3160
Al 1.8198 1.8198 1.8667
Al 1.8198 1.8198 5.6360
Al 1.8198 1.8198 8.9959
Al 1.8198 1.8198 12.7652